(1)
IrOsI2: optimized geometry, PBE-GGA.

abc: 4.814 4.814 4.814
angles: 60.00 60.00 60.00
Site moments in Bohr magnetons follow the coordinates.
Fractional coordinates of all 4 atoms:
1 I 0.250 0.250 0.250  0.00
2 I 0.750 0.750 0.750  0.00
3 Ir 0.500 0.500 0.500  0.36
4 Os 0.000 0.000 0.000  0.40



(2)
IrOsI2: optimized geometry, PBE-GGA.

abc: 5.853 5.853 7.425
angles: 66.79 66.79 90.00
Fractional coordinates of all 8 atoms:
1 I 0.622 0.125 0.250
2 I 0.128 0.625 0.250
3 I 0.375 0.378 0.750
4 I 0.875 0.872 0.750
5 Ir 0.000 0.000 0.000
6 Ir 0.750 0.250 0.500
7 Os 0.500 0.500 0.000
8 Os 0.250 0.750 0.500



Energies, relative to the best one, in meV/atom: (1) 285; (2) 0.



(1)
Ir2OsI: optimized geometry, PBE-GGA.

abc: 6.374 6.374 6.480
angles: 60.54 60.54 90.00
Fractional coordinates of all 8 atoms:
1 I 0.500 0.500 0.000
2 I 0.250 0.750 0.500
3 Ir 0.664 0.125 0.250
4 Ir 0.086 0.625 0.250
5 Ir 0.375 0.336 0.750
6 Ir 0.875 0.914 0.750
7 Os 0.000 0.000 0.000
8 Os 0.750 0.250 0.500



(2)
Ir2OsI: optimized geometry, PBE-GGA.

abc: 4.580 4.580 4.580
angles: 60.00 60.00 60.00
Fractional coordinates of all 4 atoms:
1 I 0.000 0.000 0.000
2 Ir 0.250 0.250 0.250
3 Ir 0.750 0.750 0.750
4 Os 0.500 0.500 0.500



Energies, relative to the best one, in meV/atom: (1) 0; (2) 319.



(1)
PIr2I: optimized geometry, PBE-GGA.

abc: 4.575 4.575 4.575
angles: 60.00 60.00 60.00
Fractional coordinates of all 4 atoms:
1 I 0.500 0.500 0.500
2 P 0.000 0.000 0.000
3 Ir 0.250 0.250 0.250
4 Ir 0.750 0.750 0.750



(2)
PIr2I: optimized geometry, PBE-GGA.

abc: 4.972 4.972 7.663
angles: 71.07 71.07 90.00
Fractional coordinates of all 8 atoms:
1 I 0.000 0.000 0.000
2 I 0.750 0.250 0.500
3 P 0.500 0.500 0.000
4 P 0.250 0.750 0.500
5 Ir 0.542 0.125 0.250
6 Ir 0.208 0.625 0.250
7 Ir 0.375 0.458 0.750
8 Ir 0.875 0.792 0.750



Energies, relative to the best one, in meV/atom: (1) 661; (2) 0.